# 1
Sn3CI: relaxed, GGA-PBE.

Summary:
magnetic moment	0.000	μB per cell
N(E_F)	4.6	states/eV/f.u.
E_form (uncorrected)	0.884	eV per atom
E above lowest polymorph	0	meV per atom
electronic total energy	-18.36	eV for the cell shown

a b c (Å): 5.063 5.063 5.063
angles (deg): 90.00 90.00 90.00
Fractional coordinates of all 5 atoms:
Sn1 0.000 0.000 0.500
Sn2 0.500 0.000 0.000
Sn3 0.000 0.500 0.000
C1 0.000 0.000 0.000
I1 0.500 0.500 0.500

---

# 2
SnW2CI: relaxed, GGA-PBE.

Summary:
magnetic moment	2.814	μB per cell
N(E_F)	6.1	states/eV/f.u.
E_form (uncorrected)	3.784	eV per atom
electronic total energy	-21.76	eV for the cell shown

a b c (Å): 4.915 5.911 4.915
angles (deg): 90.00 90.00 90.00
Site moments in Bohr magnetons follow the coordinates.
Fractional coordinates of all 5 atoms:
C1 0.500 0.500 0.500  0.60
W1 0.500 0.000 0.000  0.65
W2 0.000 0.000 0.500  0.67
I1 0.000 0.000 0.000  0.00
Sn1 0.000 0.500 0.000  -0.05

---

# 3
SrCI3: relaxed, GGA-PBE.

Summary:
magnetic moment	1.000	μB per cell
N(E_F)	15.6	states/eV/f.u.
E_form (uncorrected)	0.743	eV per atom
E above lowest polymorph	570	meV per atom
electronic total energy	-11.84	eV for the cell shown

a b c (Å): 6.451 6.451 6.451
angles (deg): 90.00 90.00 90.00
Site moments in Bohr magnetons follow the coordinates.
Fractional coordinates of all 5 atoms:
I1 0.000 0.000 0.500  -0.15
I2 0.500 0.000 0.000  -0.21
I3 0.000 0.500 0.000  -0.17
Sr1 0.000 0.000 0.000  0.00
C1 0.500 0.500 0.500  0.93

---

# 4
SrC3I: relaxed, GGA-PBE.

Summary:
magnetic moment	0.000	μB per cell
N(E_F)	4.9	states/eV/f.u.
E_form (uncorrected)	2.515	eV per atom
E above lowest polymorph	0	meV per atom
electronic total energy	-18.33	eV for the cell shown

a b c (Å): 4.345 4.345 4.345
angles (deg): 90.00 90.00 90.00
Fractional coordinates of all 5 atoms:
C1 0.000 0.000 0.500
C2 0.500 0.000 0.000
C3 0.000 0.500 0.000
Sr1 0.500 0.500 0.500
I1 0.000 0.000 0.000